No. 1
! PBE-GGA ZnIrBr6, relaxed; values from VASP
&SYSTEM
  ibrav = 0, nat = 8, ntyp = 3
/
ATOMIC_SPECIES
Zn 65.41 Zn.upf
Ir 192.22 Ir.upf
Br 79.90 Br.upf
CELL_PARAMETERS angstrom
3.372 -6.180 0.000
3.372 6.180 0.000
-2.759 0.000 6.145
ATOMIC_POSITIONS crystal
Zn 0.000 0.000 0.000
Ir 0.500 0.500 0.500
Br 0.112 0.391 0.251
Br 0.282 0.282 0.718
Br 0.391 0.112 0.251
Br 0.609 0.888 0.749
Br 0.718 0.718 0.282
Br 0.888 0.609 0.749
! * energy relative to the elements, uncorrected: -294 kJ/mol of formula units
! * size of the total moment: 0.501 Bohr magnetons per cell
! * crystal system: monoclinic

=====

No. 2
! PBE-GGA Cu3Ag, relaxed; values from VASP
&SYSTEM
  ibrav = 0, nat = 4, ntyp = 2
/
ATOMIC_SPECIES
Cu 63.55 Cu.upf
Ag 107.87 Ag.upf
CELL_PARAMETERS angstrom
0.000 2.693 3.785
2.648 0.000 3.785
2.648 2.693 0.000
ATOMIC_POSITIONS crystal
Cu 0.000 0.000 0.000
Cu 0.250 0.250 0.250
Cu 0.750 0.750 0.750
Ag 0.500 0.500 0.500
! * size of the total moment: 0.000 Bohr magnetons per cell
! * crystal system: orthorhombic
! * formation enthalpy at 0 K: 8.8 kJ/mol of atoms

=====

No. 3
! PBE-GGA CaAc6Sn6, relaxed; values from VASP
&SYSTEM
  ibrav = 0, nat = 13, ntyp = 3
/
ATOMIC_SPECIES
Ca 40.08 Ca.upf
Ac 227.00 Ac.upf
Sn 118.71 Sn.upf
CELL_PARAMETERS angstrom
8.131 0.000 0.000
-4.065 7.041 0.000
0.000 0.000 9.427
ATOMIC_POSITIONS crystal
Ca 0.000 0.000 0.000
Ac 0.000 0.500 0.254
Ac 0.000 0.500 0.746
Ac 0.500 0.000 0.254
Ac 0.500 0.000 0.746
Ac 0.500 0.500 0.254
Ac 0.500 0.500 0.746
Sn 0.000 0.000 0.342
Sn 0.000 0.000 0.658
Sn 0.333 0.667 0.000
Sn 0.333 0.667 0.500
Sn 0.667 0.333 0.000
Sn 0.667 0.333 0.500
! * size of the total moment: 0.000 Bohr magnetons per cell
! * crystal system: hexagonal
! * formation enthalpy at 0 K: -32.7 kJ/mol of atoms

=====

The highest size of the total moment belongs to which entry?
ZnIrBr6

=====

Repeat the second record exactly.
! PBE-GGA Cu3Ag, relaxed; values from VASP
&SYSTEM
  ibrav = 0, nat = 4, ntyp = 2
/
ATOMIC_SPECIES
Cu 63.55 Cu.upf
Ag 107.87 Ag.upf
CELL_PARAMETERS angstrom
0.000 2.693 3.785
2.648 0.000 3.785
2.648 2.693 0.000
ATOMIC_POSITIONS crystal
Cu 0.000 0.000 0.000
Cu 0.250 0.250 0.250
Cu 0.750 0.750 0.750
Ag 0.500 0.500 0.500
! * size of the total moment: 0.000 Bohr magnetons per cell
! * crystal system: orthorhombic
! * formation enthalpy at 0 K: 8.8 kJ/mol of atoms